# ZnGa3Re (PBE, relaxed)
data_ZnGa3Re
_cell_length_a 4.882
_cell_length_b 4.882
_cell_length_c 4.882
_cell_angle_alpha 90.00
_cell_angle_beta 90.00
_cell_angle_gamma 90.00
_symmetry_space_group_name_H-M 'P 1'
_symmetry_Int_Tables_number 1
loop_
_symmetry_equiv_pos_as_xyz
'x,y,z'
loop_
_atom_site_label
_atom_site_type_symbol
_atom_site_fract_x
_atom_site_fract_y
_atom_site_fract_z
Ga1 Ga 0.000 0.500 0.000
Ga2 Ga 0.500 0.000 0.000
Ga3 Ga 0.000 0.000 0.500
Re1 Re 0.000 0.000 0.000
Zn1 Zn 0.500 0.500 0.500
# Energy relative to the lowest polymorph listed for this composition, kcal/mol of atoms: 7.79
# DFT formation energy, eV/atom: 0.4019
# Magnetization, μB/f.u.: 0.00



# Ta2Ga2Tc (PBE, relaxed)
data_Ta2Ga2Tc
_cell_length_a 6.977
_cell_length_b 6.977
_cell_length_c 3.584
_cell_angle_alpha 90.00
_cell_angle_beta 90.00
_cell_angle_gamma 90.00
_symmetry_space_group_name_H-M 'P 1'
_symmetry_Int_Tables_number 1
loop_
_symmetry_equiv_pos_as_xyz
'x,y,z'
loop_
_atom_site_label
_atom_site_type_symbol
_atom_site_fract_x
_atom_site_fract_y
_atom_site_fract_z
Tc1 Tc 0.000 0.000 0.000
Ga1 Ga 0.845 0.345 0.500
Tc2 Tc 0.500 0.500 0.000
Ta1 Ta 0.851 0.649 0.000
Ga2 Ga 0.655 0.845 0.500
Ga3 Ga 0.155 0.655 0.500
Ta2 Ta 0.351 0.851 0.000
Ta3 Ta 0.149 0.351 0.000
Ga4 Ga 0.345 0.155 0.500
Ta4 Ta 0.649 0.149 0.000
# Energy relative to the lowest polymorph listed for this composition, kcal/mol of atoms: 13.77
# DFT formation energy, eV/atom: 0.4268
# Magnetization, μB/f.u.: 0.00



# SrPrI2 (PBE, relaxed)
data_SrPrI2
_cell_length_a 4.155
_cell_length_b 4.155
_cell_length_c 11.568
_cell_angle_alpha 79.65
_cell_angle_beta 79.65
_cell_angle_gamma 60.00
_symmetry_space_group_name_H-M 'P 1'
_symmetry_Int_Tables_number 1
loop_
_symmetry_equiv_pos_as_xyz
'x,y,z'
loop_
_atom_site_label
_atom_site_type_symbol
_atom_site_fract_x
_atom_site_fract_y
_atom_site_fract_z
I1 I 0.899 0.899 0.304
I2 I 0.101 0.101 0.696
Pr1 Pr 0.500 0.500 0.500
Sr1 Sr 0.000 0.000 0.000
# ΔE_f (raw), eV/f.u.: -3.76
# Magnetization, μB/f.u.: 0.00



# KAs2Ir (PBE, relaxed)
data_KAs2Ir
_cell_length_a 4.195
_cell_length_b 4.195
_cell_length_c 6.757
_cell_angle_alpha 74.33
_cell_angle_beta 74.33
_cell_angle_gamma 56.44
_symmetry_space_group_name_H-M 'P 1'
_symmetry_Int_Tables_number 1
loop_
_symmetry_equiv_pos_as_xyz
'x,y,z'
loop_
_atom_site_label
_atom_site_type_symbol
_atom_site_fract_x
_atom_site_fract_y
_atom_site_fract_z
As1 As 0.033 0.033 0.889
Ir1 Ir 0.750 0.750 0.750
K1 K 0.250 0.250 0.250
As2 As 0.467 0.467 0.611
# Energy relative to the lowest polymorph listed for this composition, kcal/mol of atoms: 0.00
# DFT formation energy, eV/atom: -0.3072
# Magnetization, μB/f.u.: 0.00



# GaCuSe2 (PBE, relaxed)
data_GaCuSe2
_cell_length_a 5.673
_cell_length_b 5.673
_cell_length_c 6.910
_cell_angle_alpha 65.76
_cell_angle_beta 65.76
_cell_angle_gamma 90.00
_symmetry_space_group_name_H-M 'P 1'
_symmetry_Int_Tables_number 1
loop_
_symmetry_equiv_pos_as_xyz
'x,y,z'
loop_
_atom_site_label
_atom_site_type_symbol
_atom_site_fract_x
_atom_site_fract_y
_atom_site_fract_z
Se1 Se 0.619 0.125 0.250
Se2 Se 0.375 0.381 0.750
Se3 Se 0.131 0.625 0.250
Se4 Se 0.875 0.869 0.750
Ga1 Ga 0.000 0.000 0.000
Cu1 Cu 0.250 0.750 0.500
Cu2 Cu 0.500 0.500 0.000
Ga2 Ga 0.750 0.250 0.500
# ΔE_f (raw), eV/f.u.: -1.93
# Magnetization, μB/f.u.: 0.00



# Tb2ThRu (PBE, relaxed)
data_Tb2ThRu
_cell_length_a 6.376
_cell_length_b 7.235
_cell_length_c 9.657
_cell_angle_alpha 90.00
_cell_angle_beta 90.00
_cell_angle_gamma 90.00
_symmetry_space_group_name_H-M 'P 1'
_symmetry_Int_Tables_number 1
loop_
_symmetry_equiv_pos_as_xyz
'x,y,z'
loop_
_atom_site_label
_atom_site_type_symbol
_atom_site_fract_x
_atom_site_fract_y
_atom_site_fract_z
Tb1 Tb 0.670 0.826 0.933
Tb2 Tb 0.670 0.826 0.567
Tb3 Tb 0.330 0.174 0.433
Ru1 Ru 0.970 0.632 0.750
Ru2 Ru 0.470 0.868 0.250
Th1 Th 0.156 0.952 0.750
Tb4 Tb 0.170 0.674 0.433
Tb5 Tb 0.330 0.174 0.067
Th2 Th 0.656 0.548 0.250
Th3 Th 0.844 0.048 0.250
Tb6 Tb 0.170 0.674 0.067
Ru3 Ru 0.530 0.132 0.750
Ru4 Ru 0.030 0.368 0.250
Tb7 Tb 0.830 0.326 0.567
Th4 Th 0.344 0.452 0.750
Tb8 Tb 0.830 0.326 0.933
# Energy relative to the lowest polymorph listed for this composition, kcal/mol of atoms: 0.00
# DFT formation energy, eV/atom: -0.3381
# Magnetization, μB/f.u.: 0.00